Compound: Er2Ga7Cu12
Source: Alexandria via LeMat-Bulk
Functional: PBE
Structure: optimized geometry

Calculated values
ΔH_f (0 K)	-17	kJ per mole of atoms

Lattice parameters (Å, degrees): 9.818 9.818 3.844 90.00 90.00 120.00
Positions (direct):
1 Er 0.333 0.667 0.241
2 Er 0.667 0.333 0.759
3 Ga 0.000 0.000 0.500
4 Ga 0.118 0.705 0.739
5 Ga 0.295 0.412 0.739
6 Ga 0.412 0.118 0.261
7 Ga 0.588 0.882 0.739
8 Ga 0.705 0.588 0.261
9 Ga 0.882 0.295 0.261
10 Cu 0.055 0.431 0.758
11 Cu 0.122 0.263 0.230
12 Cu 0.141 0.878 0.230
13 Cu 0.263 0.141 0.770
14 Cu 0.376 0.945 0.758
15 Cu 0.431 0.376 0.242
16 Cu 0.569 0.624 0.758
17 Cu 0.624 0.055 0.242
18 Cu 0.737 0.859 0.230
19 Cu 0.859 0.122 0.770
20 Cu 0.878 0.737 0.770
21 Cu 0.945 0.569 0.242

Compound: LiNd2AgTe4
Source: Alexandria via LeMat-Bulk
Functional: PBE
Structure: optimized geometry

Calculated values
ΔE_f (raw)	-1.070	eV/atom

Lattice parameters (Å, degrees): 7.533 4.491 7.784 90.00 110.68 90.00
Positions (direct):
1 Li 0.000 0.000 0.000
2 Nd 0.500 0.000 0.500
3 Nd 0.500 0.500 0.000
4 Ag 0.000 0.500 0.500
5 Te 0.237 0.000 0.745
6 Te 0.239 0.500 0.243
7 Te 0.761 0.500 0.757
8 Te 0.763 0.000 0.255

Compound: Cd2InAg
Source: Alexandria via LeMat-Bulk
Functional: PBE
Structure: optimized geometry

Calculated values
ΔH_f (0 K)	2	kJ per mole of atoms

Lattice parameters (Å, degrees): 5.894 8.200 3.676 90.00 90.00 90.00
Positions (direct):
1 Cd 0.250 0.250 0.000
2 Cd 0.250 0.750 0.000
3 Cd 0.750 0.250 0.000
4 Cd 0.750 0.750 0.000
5 In 0.000 0.000 0.500
6 In 0.500 0.500 0.500
7 Ag 0.000 0.500 0.500
8 Ag 0.500 0.000 0.500

Compound: HfTiPd14
Source: Alexandria via LeMat-Bulk
Functional: PBE
Structure: optimized geometry

Calculated values
ΔH_f (0 K)	-38	kJ per mole of atoms

Lattice parameters (Å, degrees): 5.630 5.630 7.861 90.00 90.00 90.00
Positions (direct):
1 Hf 0.000 0.000 0.000
2 Ti 0.500 0.500 0.000
3 Pd 0.000 0.000 0.500
4 Pd 0.000 0.500 0.000
5 Pd 0.000 0.500 0.500
6 Pd 0.252 0.252 0.245
7 Pd 0.252 0.252 0.755
8 Pd 0.252 0.748 0.245
9 Pd 0.252 0.748 0.755
10 Pd 0.500 0.000 0.000
11 Pd 0.500 0.000 0.500
12 Pd 0.500 0.500 0.500
13 Pd 0.748 0.252 0.245
14 Pd 0.748 0.252 0.755
15 Pd 0.748 0.748 0.245
16 Pd 0.748 0.748 0.755

Compound: Pa2TaCo3Si4
Source: Alexandria via LeMat-Bulk
Functional: PBE
Structure: optimized geometry

Calculated values
ΔE_f (raw)	-0.651	eV/atom

Lattice parameters (Å, degrees): 3.922 3.922 10.241 90.00 90.00 90.00
Positions (direct):
1 Pa 0.000 0.500 0.231
2 Pa 0.500 0.000 0.769
3 Ta 0.000 0.000 0.500
4 Co 0.000 0.500 0.878
5 Co 0.500 0.000 0.122
6 Co 0.500 0.500 0.500
7 Si 0.000 0.000 0.000
8 Si 0.000 0.500 0.657
9 Si 0.500 0.000 0.343
10 Si 0.500 0.500 0.000

Compound: PRu2W
Source: Alexandria via LeMat-Bulk
Functional: PBE
Structure: optimized geometry

Calculated values
ΔH_f (0 K)	3	kJ per mole of atoms

Lattice parameters (Å, degrees): 2.813 2.813 24.799 90.00 90.00 120.00
Positions (direct):
1 P 0.000 0.000 0.000
2 P 0.333 0.667 0.667
3 P 0.667 0.333 0.333
4 Ru 0.000 0.000 0.263
5 Ru 0.000 0.000 0.503
6 Ru 0.333 0.667 0.170
7 Ru 0.333 0.667 0.930
8 Ru 0.667 0.333 0.596
9 Ru 0.667 0.333 0.837
10 W 0.000 0.000 0.750
11 W 0.333 0.667 0.417
12 W 0.667 0.333 0.084

Compound: BaTlSiI2
Source: Alexandria via LeMat-Bulk
Functional: PBE
Structure: optimized geometry

Calculated values
ΔE_f (raw)	0.280	eV/atom

Lattice parameters (Å, degrees): 6.310 6.310 6.624 90.00 90.00 90.00
Positions (direct):
1 Ba 0.000 0.000 0.000
2 Tl 0.000 0.000 0.500
3 Si 0.500 0.500 0.000
4 I 0.000 0.500 0.500
5 I 0.500 0.000 0.500

Compound: NdPu2Si
Source: Alexandria via LeMat-Bulk
Functional: PBE
Structure: optimized geometry

Calculated values
offset from the most stable computed form	70	meV/atom
ΔE_f (raw)	-0.116	eV/atom

Lattice parameters (Å, degrees): 3.830 3.830 6.773 90.00 90.00 90.00
Positions (direct):
1 Nd 0.000 0.000 0.000
2 Pu 0.500 0.500 0.297
3 Pu 0.500 0.500 0.703
4 Si 0.000 0.000 0.500